# 1
PBE MgAl2Ir2, optimized geometry; ΔH_f (0 K) = -559.5 meV per atom; VASP energy = -29.60 eV for the cell shown; SG = I4/mmm, No. 139; excess energy over the best structure of this formula in the dataset = 191 meV per atom; crystal system = tetragonal; size of the total moment = 0.00 μB/f.u.
1.0
-3.506 0.830 -1.412
-0.376 -3.655 -1.213
-4.292 -2.831 3.692
Mg Ir Al
1 2 2
Cartesian
0.000 0.000 0.000 Mg
-2.469 -1.731 -0.190 Ir
-5.706 -3.926 1.257 Ir
-4.869 -1.707 0.484 Al
-3.305 -3.949 0.584 Al

# 2
PBE Ta2OsCl, optimized geometry; VASP energy = -33.10 eV for the cell shown; E_form (uncorrected) = 21.22 kcal/mol of atoms; SG = F-43m, No. 216; excess energy over the best structure of this formula in the dataset = 1011 meV per atom; crystal system = cubic; size of the total moment = 0.00 μB/f.u.
1.0
4.585 0.000 0.000
2.292 3.971 0.000
2.292 1.324 3.744
Cl Os Ta
1 1 2
Cartesian
4.585 2.647 1.872 Cl
6.877 3.971 2.808 Os
0.000 0.000 0.000 Ta
2.292 1.324 0.936 Ta

# 3
PBE NaTm2Mg, optimized geometry; ΔH_f (0 K) = 198.9 meV per atom; VASP energy = -11.06 eV for the cell shown; SG = R-3m, No. 166; crystal system = trigonal; size of the total moment = 0.00 μB/f.u.
1.0
3.394 0.000 0.000
1.697 2.939 0.000
1.697 0.980 12.260
Na Mg Tm
1 1 2
Cartesian
0.000 0.000 0.000 Na
3.394 1.959 6.130 Mg
1.697 0.980 8.773 Tm
5.091 2.939 3.486 Tm

# 4
PBE NaLa3V, optimized geometry; ΔH_f (0 K) = 365.8 meV per atom; VASP energy = -23.39 eV for the cell shown; SG = Pm-3m, No. 221; excess energy over the best structure of this formula in the dataset = 0 meV per atom; crystal system = cubic; size of the total moment = 0.44 μB/f.u.
1.0
-1.554 -3.057 4.399
3.037 -4.276 -1.899
4.413 1.866 2.855
Na La V
1 3 1
Cartesian
2.948 -2.734 2.677 Na
1.518 -2.138 -0.950 La
2.207 0.933 1.428 La
-0.777 -1.529 2.199 La
0.000 0.000 0.000 V